Record 1
The following is a DFT calculation (GGA-PBE) of an optimized crystal structure of Ca2Ag2RuO6.

```
data_Ca2Ag2RuO6
_cell_length_a 5.8938
_cell_length_b 9.5799
_cell_length_c 6.2351
_cell_angle_alpha 90.00
_cell_angle_beta 116.45
_cell_angle_gamma 90.00
_space_group_name_H-M_alt 'C 1 2/m 1'
_space_group_IT_number 12
loop_
_space_group_symop_operation_xyz
'x,y,z'
'-x,-y,-z'
'-x,y,-z'
'x,-y,z'
'x+1/2,y+1/2,z'
'-x+1/2,-y+1/2,-z'
'-x+1/2,y+1/2,-z'
'x+1/2,-y+1/2,z'
loop_
_atom_site_label
_atom_site_fract_x
_atom_site_fract_y
_atom_site_fract_z
Ca1 0.0000 0.1622 0.0000
Ag1 0.0000 0.3079 0.5000
Ru1 0.0000 0.5000 0.0000
O1 0.1707 0.5000 0.7875
O2 0.2360 0.3525 0.1908
```

Output
**Crystal system**: monoclinic



Record 2
The following is a DFT calculation (GGA-PBE) of an optimized crystal structure of Ca2AgSO.

```
data_Ca2AgSO
_cell_length_a 4.7631
_cell_length_b 4.7631
_cell_length_c 4.4210
_cell_angle_alpha 90.00
_cell_angle_beta 90.00
_cell_angle_gamma 90.00
_space_group_name_H-M_alt 'P 4/m m m'
_space_group_IT_number 123
_space_group_name_Hall '-P 4 2'
loop_
_atom_site_label
_atom_site_fract_x
_atom_site_fract_y
_atom_site_fract_z
Ca1 0.0000 0.5000 0.0000
Ag1 0.0000 0.0000 0.5000
S1 0.5000 0.5000 0.5000
O1 0.0000 0.0000 0.0000
```

Output
**Crystal system**: tetragonal



Record 3
The following is a DFT calculation (GGA-PBE) of an optimized crystal structure of Ca2AgSbO6.

```
data_Ca2AgSbO6
_cell_length_a 5.8140
_cell_length_b 7.6950
_cell_length_c 6.1282
_cell_angle_alpha 90.00
_cell_angle_beta 103.11
_cell_angle_gamma 90.00
_space_group_name_H-M_alt 'P 1 21/m 1'
_space_group_IT_number 11
loop_
_space_group_symop_operation_xyz
'x,y,z'
'-x,-y,-z'
'-x,y+1/2,-z'
'x,-y+1/2,z'
loop_
_atom_site_label
_atom_site_fract_x
_atom_site_fract_y
_atom_site_fract_z
Ca1 0.0288 0.2500 0.0769
Ca2 0.4526 0.7500 0.4575
Ag1 0.0000 0.0000 0.5000
Sb1 0.5000 0.0000 0.0000
O1 0.0995 0.7500 0.5741
O2 0.1565 0.0405 0.8336
O3 0.3795 0.0547 0.2674
O4 0.4067 0.7500 0.0612
```

Output
**Crystal system**: monoclinic



Record 4
The following is a DFT calculation (GGA-PBE) of an optimized crystal structure of CaAgSb2O.

```
data_CaAgSb2O
_cell_length_a 5.7642
_cell_length_b 5.7642
_cell_length_c 5.3764
_cell_angle_alpha 90.00
_cell_angle_beta 90.00
_cell_angle_gamma 90.00
_space_group_name_H-M_alt 'P 4/m m m'
_space_group_IT_number 123
_space_group_name_Hall '-P 4 2'
loop_
_atom_site_label
_atom_site_fract_x
_atom_site_fract_y
_atom_site_fract_z
Ca1 0.0000 0.0000 0.0000
Ag1 0.0000 0.0000 0.5000
Sb1 0.0000 0.5000 0.0000
O1 0.5000 0.5000 0.5000
```

Output
**Crystal system**: tetragonal



Record 5
The following is a DFT calculation (GGA-PBE) of an optimized crystal structure of CaAg2Se2O6.

```
data_CaAg2Se2O6
_cell_length_a 9.1346
_cell_length_b 5.8716
_cell_length_c 7.1328
_cell_angle_alpha 90.00
_cell_angle_beta 118.62
_cell_angle_gamma 90.00
_space_group_name_H-M_alt 'C 1 2/m 1'
_space_group_IT_number 12
loop_
_space_group_symop_operation_xyz
'x,y,z'
'-x,-y,-z'
'-x,y,-z'
'x,-y,z'
'x+1/2,y+1/2,z'
'-x+1/2,-y+1/2,-z'
'-x+1/2,y+1/2,-z'
'x+1/2,-y+1/2,z'
loop_
_atom_site_label
_atom_site_fract_x
_atom_site_fract_y
_atom_site_fract_z
Ca1 0.0000 0.0000 0.0000
Ag1 0.1772 0.0000 0.6034
Se1 0.0728 0.5000 0.7459
O1 0.0592 0.2724 0.2751
O2 0.2327 0.5000 0.0010
```

Output
**Crystal system**: monoclinic



Record 6
The following is a DFT calculation (GGA-PBE) of an optimized crystal structure of Ca2AgSeO.

```
data_Ca2AgSeO
_cell_length_a 4.8036
_cell_length_b 4.8036
_cell_length_c 4.6283
_cell_angle_alpha 90.00
_cell_angle_beta 90.00
_cell_angle_gamma 90.00
_space_group_name_H-M_alt 'P 4/m m m'
_space_group_IT_number 123
_space_group_name_Hall '-P 4 2'
loop_
_atom_site_label
_atom_site_fract_x
_atom_site_fract_y
_atom_site_fract_z
Ca1 0.0000 0.5000 0.0000
Ag1 0.0000 0.0000 0.5000
Se1 0.5000 0.5000 0.5000
O1 0.5000 0.5000 0.0000
```

Output
**Crystal system**: tetragonal



Record 7
The following is a DFT calculation (GGA-PBE) of an optimized crystal structure of CaAgSe2O.

```
data_CaAgSe2O
_cell_length_a 4.8552
_cell_length_b 4.8552
_cell_length_c 6.0158
_cell_angle_alpha 90.00
_cell_angle_beta 90.00
_cell_angle_gamma 90.00
_space_group_name_H-M_alt 'P 4/m m m'
_space_group_IT_number 123
_space_group_name_Hall '-P 4 2'
loop_
_atom_site_label
_atom_site_fract_x
_atom_site_fract_y
_atom_site_fract_z
Ca1 0.0000 0.0000 0.0000
Ag1 0.0000 0.0000 0.5000
Se1 0.0000 0.5000 0.5000
O1 0.5000 0.5000 0.0000
```

Output
**Crystal system**: tetragonal



Record 8
The following is a DFT calculation (GGA-PBE) of an optimized crystal structure of SrCa2AgO.

```
data_SrCa2AgO
_cell_length_a 4.7762
_cell_length_b 4.7762
_cell_length_c 5.3924
_cell_angle_alpha 90.00
_cell_angle_beta 90.00
_cell_angle_gamma 90.00
_space_group_name_H-M_alt 'P 4/m m m'
_space_group_IT_number 123
_space_group_name_Hall '-P 4 2'
loop_
_atom_site_label
_atom_site_fract_x
_atom_site_fract_y
_atom_site_fract_z
Sr1 0.0000 0.0000 0.0000
Ca1 0.0000 0.5000 0.5000
Ag1 0.5000 0.5000 0.0000
O1 0.0000 0.0000 0.5000
```

Output
**Crystal system**: tetragonal



Record 9
The following is a DFT calculation (GGA-PBE) of an optimized crystal structure of SrCa2AgO4.

```
data_SrCa2AgO4
_cell_length_a 3.4501
_cell_length_b 11.9276
_cell_length_c 12.0620
_cell_angle_alpha 90.00
_cell_angle_beta 90.00
_cell_angle_gamma 90.00
_space_group_name_H-M_alt 'C m c m'
_space_group_IT_number 63
_space_group_name_Hall '-C 2c 2'
loop_
_atom_site_label
_atom_site_fract_x
_atom_site_fract_y
_atom_site_fract_z
Sr1 0.0000 0.1338 0.2500
Ca1 0.0000 0.3722 0.0389
Ag1 0.0000 0.1314 0.7500
O1 0.0000 0.0000 0.0000
O2 0.0000 0.2605 0.6168
O3 0.0000 0.4802 0.2500
```

Output
**Crystal system**: orthorhombic



Record 10
The following is a DFT calculation (GGA-PBE) of an optimized crystal structure of Ca2TbAgO4.

```
data_Ca2TbAgO4
_cell_length_a 5.8971
_cell_length_b 3.4605
_cell_length_c 5.9361
_cell_angle_alpha 90.00
_cell_angle_beta 108.84
_cell_angle_gamma 90.00
_space_group_name_H-M_alt 'P 1 2/m 1'
_space_group_IT_number 10
loop_
_space_group_symop_operation_xyz
'x,y,z'
'-x,-y,-z'
'-x,y,-z'
'x,-y,z'
loop_
_atom_site_label
_atom_site_fract_x
_atom_site_fract_y
_atom_site_fract_z
Ca1 0.0000 0.0000 0.0000
Ca2 0.5000 0.5000 0.0000
Tb1 0.0000 0.5000 0.5000
Ag1 0.5000 0.0000 0.5000
O1 0.2200 0.5000 0.2346
O2 0.2257 0.0000 0.7471
```

Output
**Crystal system**: monoclinic



no.,formation energy from raw total energies (eV per atom)
1,-1.3114
2,-1.3438
3,-1.7643
4,1.2347
5,-1.0396
6,-1.0735
7,0.2928
8,-1.2220
9,-2.0313
10,-2.4990